Entry from Alexandria: crystalline SmEuPd at its relaxed geometry (PBE-GGA).

The volume is 32.777 Å³/atom. The value obtained for the formation enthalpy at 0 K is -409 meV/atom. The energy above the most stable polymorph in this dataset is 66 meV per atom. Its energy is -7.14 eV per atom.

a b c (Å): 4.134 4.134 6.643
angles (deg): 90.00 90.00 120.00
Site moments in Bohr magnetons follow the coordinates.
Positions (direct):
Eu: 0.000 0.000 0.075  6.91
Pd: 0.667 0.333 0.347  -0.01
Sm: 0.333 0.667 0.578  0.09